Record 1
{"formula": "MnTcO2", "functional": "GGA+U", "state": "relaxed", "cell": [[1.490, 0.860, 6.296], [-1.490, 0.860, 6.296], [0.000, -1.720, 6.296]], "species": ["Mn", "Tc", "O", "O"], "fractional_positions": [[0.000, 0.000, 0.000], [0.500, 0.500, 0.500], [0.398, 0.398, 0.398], [0.602, 0.602, 0.602]], "crystal_system": "trigonal", "sg": "R-3m (166)"}

---

Record 2
{"formula": "MnTcO3", "functional": "GGA+U", "state": "relaxed", "cell": [[6.462, 0.000, 0.000], [0.000, 5.306, 0.000], [-6.370, 0.000, 9.463]], "species": ["Mn", "Mn", "Mn", "Mn", "Tc", "Tc", "Tc", "Tc", "O", "O", "O", "O", "O", "O", "O", "O", "O", "O", "O", "O"], "fractional_positions": [[0.247, 0.057, 0.331], [0.247, 0.443, 0.831], [0.753, 0.557, 0.169], [0.753, 0.943, 0.669], [0.181, 0.556, 0.099], [0.181, 0.944, 0.599], [0.819, 0.056, 0.401], [0.819, 0.444, 0.901], [0.064, 0.748, 0.688], [0.064, 0.752, 0.188], [0.300, 0.239, 0.691], [0.300, 0.261, 0.191], [0.357, 0.646, 0.022], [0.357, 0.854, 0.522], [0.643, 0.146, 0.478], [0.643, 0.354, 0.978], [0.700, 0.739, 0.809], [0.700, 0.761, 0.309], [0.936, 0.248, 0.812], [0.936, 0.252, 0.312]], "crystal_system": "monoclinic", "sg": "P2_1/c (14)"}

---

Record 3
{"formula": "Mn2TcO6", "functional": "GGA+U", "state": "relaxed", "cell": [[-1.683, 2.475, 5.424], [1.683, -2.475, 5.424], [1.683, 2.475, -5.424]], "species": ["Mn", "Mn", "Tc", "O", "O", "O", "O", "O", "O"], "fractional_positions": [[0.167, 0.167, 0.000], [0.833, 0.833, 0.000], [0.500, 0.500, 0.000], [0.094, 0.341, 0.753], [0.264, 0.000, 0.264], [0.411, 0.659, 0.753], [0.589, 0.341, 0.247], [0.736, 0.000, 0.736], [0.906, 0.659, 0.247]], "crystal_system": "orthorhombic", "sg": "Immm (71)"}

---

Record 4
{"formula": "MnTcO5", "functional": "GGA+U", "state": "relaxed", "cell": [[3.688, -4.630, 0.000], [3.688, 4.630, 0.000], [-2.613, 0.000, 6.657]], "species": ["Mn", "Mn", "Tc", "Tc", "O", "O", "O", "O", "O", "O", "O", "O", "O", "O"], "fractional_positions": [[0.000, 0.000, 0.000], [0.000, 0.000, 0.500], [0.334, 0.666, 0.750], [0.666, 0.334, 0.250], [0.050, 0.950, 0.250], [0.144, 0.702, 0.901], [0.249, 0.366, 0.598], [0.298, 0.856, 0.599], [0.366, 0.249, 0.098], [0.634, 0.751, 0.902], [0.702, 0.144, 0.401], [0.751, 0.634, 0.402], [0.856, 0.298, 0.099], [0.950, 0.050, 0.750]], "crystal_system": "monoclinic", "sg": "C2/c (15)"}

---

Record 5
{"formula": "MnTcO2", "functional": "GGA+U", "state": "relaxed", "cell": [[0.000, 2.745, 2.745], [2.745, 0.000, 2.745], [2.745, 2.745, 0.000]], "species": ["Mn", "Tc", "O", "O"], "fractional_positions": [[0.000, 0.000, 0.000], [0.500, 0.500, 0.500], [0.250, 0.250, 0.250], [0.750, 0.750, 0.750]], "crystal_system": "cubic", "sg": "Fm-3m (225)"}

---

Record 6
{"formula": "MnTc4O12", "functional": "GGA+U", "state": "relaxed", "cell": [[-3.728, 3.731, 3.798], [3.728, -3.731, 3.798], [3.728, 3.731, -3.798]], "species": ["Mn", "Tc", "Tc", "Tc", "Tc", "O", "O", "O", "O", "O", "O", "O", "O", "O", "O", "O", "O"], "fractional_positions": [[0.000, 0.000, 0.000], [0.000, 0.000, 0.500], [0.000, 0.500, 0.000], [0.500, 0.000, 0.000], [0.500, 0.500, 0.500], [0.036, 0.294, 0.743], [0.189, 0.188, 0.377], [0.189, 0.812, 0.000], [0.294, 0.045, 0.751], [0.294, 0.543, 0.249], [0.449, 0.706, 0.743], [0.551, 0.294, 0.257], [0.706, 0.457, 0.751], [0.706, 0.955, 0.249], [0.811, 0.188, 0.000], [0.811, 0.812, 0.623], [0.964, 0.706, 0.257]], "crystal_system": "orthorhombic", "sg": "Immm (71)"}

---

Record 7
{"formula": "MnTcO3", "functional": "GGA+U", "state": "relaxed", "cell": [[3.878, 0.000, 0.000], [0.000, 3.878, 0.000], [0.000, 0.000, 3.878]], "species": ["Mn", "Tc", "O", "O", "O"], "fractional_positions": [[0.000, 0.000, 0.000], [0.500, 0.500, 0.500], [0.000, 0.500, 0.500], [0.500, 0.000, 0.500], [0.500, 0.500, 0.000]], "crystal_system": "cubic", "sg": "Pm-3m (221)"}

---

Record 8
{"formula": "Mn2TcO5", "functional": "GGA+U", "state": "relaxed", "cell": [[5.364, -1.905, 0.000], [5.364, 1.905, 0.000], [-3.650, 0.000, 5.164]], "species": ["Mn", "Mn", "Tc", "O", "O", "O", "O", "O"], "fractional_positions": [[0.180, 0.180, 0.119], [0.820, 0.820, 0.881], [0.000, 0.000, 0.500], [0.045, 0.045, 0.254], [0.224, 0.224, 0.803], [0.500, 0.500, 0.500], [0.776, 0.776, 0.197], [0.955, 0.955, 0.746]], "crystal_system": "monoclinic", "sg": "C2/m (12)"}

---

Number 1: DFT total energy -7.97 eV/atom. Number 2: DFT total energy -7.91 eV/atom. Number 3: DFT total energy -7.26 eV/atom. Number 4: DFT total energy -7.42 eV/atom. Number 5: DFT total energy -7.32 eV/atom. Number 6: DFT total energy -7.74 eV/atom. Number 7: DFT total energy -7.61 eV/atom. Number 8: DFT total energy -7.73 eV/atom.